TaZnAu2 after structural relaxation, computed with PBE.

Computed properties:
V = 69 Å³/cell
Total energy = -4.796 eV per atom

Lattice parameters (Å, degrees): 4.1871 4.1871 3.9548 90.00 90.00 90.00
Last column: nearest neighbours and their distance in Å.
Positions (direct):
Ta1 0.0000 0.0000 0.0000  8 Au 2.88, 4 Zn 2.96
Zn1 0.5000 0.5000 0.0000  8 Au 2.88, 4 Ta 2.96
Au1 0.0000 0.5000 0.5000  4 Ta 2.88, 4 Zn 2.88, 4 Au 2.96
Au2 0.5000 0.0000 0.5000  4 Ta 2.88, 4 Zn 2.88, 4 Au 2.96